[1]
A plane-wave DFT calculation with PBE was carried out for a relaxed Pm7CoBr12 crystal.

Lattice parameters (Å, degrees): 15.1250 15.1250 10.7147 90.00 90.00 120.00
Space group R-3 (No. 148, hexagonal axes)
One atom of each set of equivalent atoms:
Pm 0.0000 0.0000 0.0000 x3
Pm 0.0408 0.8779 0.3589 x18
Co 0.0000 0.0000 0.5000 x3
Br 0.0221 0.4366 0.1563 x18
Br 0.0444 0.8748 0.8362 x18

Summary:
Formation energy without anion corrections = -36.6 kcal/mol of atoms
Total magnetic moment = 0.00 Bohr magnetons per cell
E = -4.608 eV/atom

---

[2]
A plane-wave DFT calculation with PBE was carried out for a relaxed ZrTe2MoN crystal.

Lattice parameters (Å, degrees): 5.456 5.456 3.779 90.00 90.00 90.00
Space group P4/mmm (No. 123)
One atom of each set of equivalent atoms:
Zr 0.000 0.000 0.000 x1
Te 0.000 0.500 0.500 x2
Mo 0.500 0.500 0.500 x1
N 0.500 0.500 0.000 x1

Summary:
Formation energy without anion corrections = 4.0 kcal/mol of atoms
Total magnetic moment = 0.33 Bohr magnetons per cell
E = -6.626 eV/atom

---

[3]
A plane-wave DFT calculation with PBE was carried out for a relaxed AgSnSb2Te crystal.

Lattice parameters (Å, degrees): 5.679 5.679 5.705 90.00 90.00 90.00
Space group P4/mmm (No. 123)
One atom of each set of equivalent atoms:
Ag 0.000 0.000 0.000 x1
Sn 0.500 0.500 0.500 x1
Sb 0.000 0.500 0.500 x2
Te 0.500 0.500 0.000 x1

Summary:
Formation energy without anion corrections = 19.2 kcal/mol of atoms
Total magnetic moment = 0.00 Bohr magnetons per cell
E = -2.816 eV/atom

---

[4]
A plane-wave DFT calculation with PBE was carried out for a relaxed Nd5Sn2H crystal.

Lattice parameters (Å, degrees): 7.142 7.142 9.109 90.00 90.00 90.00
Space group I4mm (No. 107)
One atom of each set of equivalent atoms:
Nd 0.000 0.000 0.000 x2
Nd 0.250 0.250 0.254 x8
Sn 0.000 0.500 0.003 x4
H 0.000 0.000 0.741 x2

Summary:
Total magnetic moment = 0.00 Bohr magnetons per cell
E = -4.798 eV/atom

---

[5]
A plane-wave DFT calculation with PBE was carried out for a relaxed MgZn2In crystal.

Lattice parameters (Å, degrees): 4.140 4.242 4.343 90.00 90.00 90.00
Space group Pmmm (No. 47)
One atom of each set of equivalent atoms:
Mg 0.000 0.000 0.000 x1
Zn 0.500 0.000 0.500 x1
Zn 0.500 0.500 0.000 x1
In 0.000 0.500 0.500 x1

Summary:
Energy relative to the elements = -0.0091 eV per atom
Total magnetic moment = 0.00 Bohr magnetons per cell
E = -1.729 eV/atom

---

[6]
A plane-wave DFT calculation with PBE was carried out for a relaxed TbHfAgIr crystal.

Lattice parameters (Å, degrees): 6.864 6.864 6.864 90.00 90.00 90.00
Space group F-43m (No. 216)
One atom of each set of equivalent atoms:
Tb 0.000 0.000 0.000 x4
Hf 0.000 0.000 0.500 x4
Ag 0.250 0.250 0.750 x4
Ir 0.250 0.250 0.250 x4

Summary:
Energy relative to the elements = -0.4450 eV per atom
Total magnetic moment = 0.00 Bohr magnetons per cell
E = -7.019 eV/atom

---

[7]
A plane-wave DFT calculation with PBE was carried out for a relaxed KBa2Mn crystal.

Lattice parameters (Å, degrees): 4.181 4.181 11.306 90.00 90.00 90.00
Space group P4/mmm (No. 123)
One atom of each set of equivalent atoms:
K 0.000 0.000 0.000 x1
Ba 0.500 0.500 0.325 x2
Mn 0.000 0.000 0.500 x1

Summary:
Energy relative to the elements = 0.3518 eV per atom
Total magnetic moment = 3.32 Bohr magnetons per cell
E = -3.176 eV/atom

---

[8]
A plane-wave DFT calculation with PBE was carried out for a relaxed Sc8Te3CSe3 crystal.

Lattice parameters (Å, degrees): 7.8071 7.8071 20.0813 90.00 90.00 120.00
Space group R-3m (No. 166, hexagonal axes)
One atom of each set of equivalent atoms:
Sc 0.0000 0.0000 0.2361 x6
Sc 0.0532 0.5266 0.2296 x18
Te 0.0000 0.5000 0.0000 x9
C 0.0000 0.0000 0.5000 x3
Se 0.0000 0.5000 0.5000 x9

Summary:
Formation energy without anion corrections = -27.1 kcal/mol of atoms
Total magnetic moment = 0.00 Bohr magnetons per cell
E = -6.493 eV/atom

---

[9]
A plane-wave DFT calculation with PBE was carried out for a relaxed TlBiP2S crystal.

Lattice parameters (Å, degrees): 5.371 5.371 5.390 90.00 90.00 90.00
Space group P4/mmm (No. 123)
One atom of each set of equivalent atoms:
Tl 0.000 0.000 0.000 x1
Bi 0.500 0.500 0.500 x1
P 0.000 0.500 0.500 x2
S 0.500 0.500 0.000 x1

Summary:
Formation energy without anion corrections = 18.4 kcal/mol of atoms
Total magnetic moment = 2.28 Bohr magnetons per cell
E = -3.440 eV/atom

---

[10]
A plane-wave DFT calculation with PBE was carried out for a relaxed CePm2Cd2In2 crystal.

Lattice parameters (Å, degrees): 5.0337 5.0337 26.9465 90.00 90.00 120.00
Space group R-3m (No. 166, hexagonal axes)
One atom of each set of equivalent atoms:
Ce 0.0000 0.0000 0.0000 x3
Pm 0.0000 0.0000 0.1277 x6
Cd 0.0000 0.0000 0.3988 x6
In 0.0000 0.0000 0.2625 x6

Summary:
Energy relative to the elements = -0.2464 eV per atom
Total magnetic moment = 4.00 Bohr magnetons per cell
E = -3.495 eV/atom

---

[11]
A plane-wave DFT calculation with PBE was carried out for a relaxed CsTl3Hg3 crystal.

Lattice parameters (Å, degrees): 8.8730 8.8730 21.5681 90.00 90.00 120.00
Space group R-3 (No. 148, hexagonal axes)
One atom of each set of equivalent atoms:
Cs 0.0000 0.0000 0.1269 x6
Tl 0.0835 0.5271 0.3536 x18
Hg 0.0830 0.5497 0.1086 x18

Summary:
Energy relative to the elements = -0.0877 eV per atom
Total magnetic moment = 0.00 Bohr magnetons per cell
E = -1.353 eV/atom

---

[12]
A plane-wave DFT calculation with PBE was carried out for a relaxed Zr2AlSi crystal.

Lattice parameters (Å, degrees): 5.441 5.446 5.447 104.22 104.47 90.49
Space group P-1 (No. 2)
One atom of each set of equivalent atoms:
Zr 0.050 0.297 0.205 x2
Zr 0.445 0.192 0.785 x2
Al 0.413 0.663 0.660 x2
Si 0.085 0.834 0.345 x2

Summary:
Formation energy without anion corrections = -16.3 kcal/mol of atoms
Total magnetic moment = 0.00 Bohr magnetons per cell
E = -7.274 eV/atom

---

Number 1: theoretical density 4.770 Mg/m³. Number 2: theoretical density 6.737 Mg/m³. Number 3: theoretical density 5.395 Mg/m³. Number 4: theoretical density 6.860 Mg/m³. Number 5: theoretical density 5.878 Mg/m³. Number 6: theoretical density 13.092 Mg/m³. Number 7: theoretical density 3.098 Mg/m³. Number 8: theoretical density 4.659 Mg/m³. Number 9: theoretical density 5.417 Mg/m³. Number 10: theoretical density 7.453 Mg/m³. Number 11: theoretical density 9.132 Mg/m³. Number 12: theoretical density 5.222 Mg/m³.